# 1
{
  "formula": "CoSnPd2",
  "functional": "GGA-PBE",
  "state": "relaxed",
  "formation_energy_mev_per_atom": -208,
  "rho_g_cm3": 10.52,
  "dos_at_fermi_per_ev_cell": 4.354,
  "lattice": [[3.930, 0.000, 0.000], [0.000, 3.930, 0.000], [0.000, 0.000, 3.991]],
  "species": ["Co", "Sn", "Pd", "Pd"],
  "fractional_positions": [[0.000, 0.000, 0.000], [0.500, 0.500, 0.000], [0.000, 0.500, 0.500], [0.500, 0.000, 0.500]]
}

***

# 2
{
  "formula": "CoSnPd2",
  "functional": "GGA-PBE",
  "state": "relaxed",
  "formation_energy_mev_per_atom": 94,
  "rho_g_cm3": 9.53,
  "dos_at_fermi_per_ev_cell": 16.126,
  "lattice": [[3.852, 0.000, 0.000], [0.000, 3.852, 0.000], [0.000, 0.000, 18.338]],
  "species": ["Co", "Co", "Co", "Co", "Sn", "Sn", "Sn", "Sn", "Pd", "Pd", "Pd", "Pd", "Pd", "Pd", "Pd", "Pd"],
  "fractional_positions": [[0.000, 0.000, 0.000], [0.000, 0.500, 0.250], [0.500, 0.000, 0.750], [0.500, 0.500, 0.500], [0.000, 0.000, 0.500], [0.000, 0.500, 0.750], [0.500, 0.000, 0.250], [0.500, 0.500, 0.000], [0.239, 0.250, 0.125], [0.250, 0.739, 0.375], [0.250, 0.761, 0.875], [0.261, 0.250, 0.625], [0.739, 0.750, 0.625], [0.750, 0.239, 0.875], [0.750, 0.261, 0.375], [0.761, 0.750, 0.125]]
}

***

# 3
{
  "formula": "TiCoSnPd",
  "functional": "GGA-PBE",
  "state": "relaxed",
  "formation_energy_mev_per_atom": -414,
  "rho_g_cm3": 8.87,
  "dos_at_fermi_per_ev_cell": 2.499,
  "lattice": [[4.158, 0.000, 0.000], [0.000, 4.158, 0.000], [0.000, 0.000, 7.186]],
  "species": ["Ti", "Ti", "Co", "Co", "Sn", "Sn", "Pd", "Pd"],
  "fractional_positions": [[0.000, 0.000, 0.000], [0.500, 0.500, 0.500], [0.000, 0.500, 0.250], [0.500, 0.000, 0.750], [0.000, 0.000, 0.500], [0.500, 0.500, 0.000], [0.000, 0.500, 0.750], [0.500, 0.000, 0.250]]
}

***

# 4
{
  "formula": "TlCoSn2Pd",
  "functional": "GGA-PBE",
  "state": "relaxed",
  "formation_energy_mev_per_atom": 215,
  "rho_g_cm3": 8.70,
  "dos_at_fermi_per_ev_cell": 1.873,
  "lattice": [[4.820, 0.000, 0.000], [0.000, 4.820, 0.000], [0.000, 0.000, 4.986]],
  "species": ["Tl", "Co", "Sn", "Sn", "Pd"],
  "fractional_positions": [[0.000, 0.000, 0.000], [0.000, 0.000, 0.500], [0.000, 0.500, 0.500], [0.500, 0.000, 0.500], [0.500, 0.500, 0.000]]
}

***

# 5
{
  "formula": "TmCoSnPd",
  "functional": "GGA-PBE",
  "state": "relaxed",
  "formation_energy_mev_per_atom": -532,
  "rho_g_cm3": 10.54,
  "dos_at_fermi_per_ev_cell": 13.736,
  "lattice": [[6.584, 0.000, 0.000], [0.000, 6.584, 0.000], [0.000, 0.000, 6.584]],
  "species": ["Tm", "Tm", "Tm", "Tm", "Co", "Co", "Co", "Co", "Sn", "Sn", "Sn", "Sn", "Pd", "Pd", "Pd", "Pd"],
  "fractional_positions": [[0.000, 0.000, 0.000], [0.000, 0.500, 0.500], [0.500, 0.000, 0.500], [0.500, 0.500, 0.000], [0.250, 0.250, 0.250], [0.250, 0.750, 0.750], [0.750, 0.250, 0.750], [0.750, 0.750, 0.250], [0.000, 0.000, 0.500], [0.000, 0.500, 0.000], [0.500, 0.000, 0.000], [0.500, 0.500, 0.500], [0.250, 0.250, 0.750], [0.250, 0.750, 0.250], [0.750, 0.250, 0.250], [0.750, 0.750, 0.750]]
}

***

# 6
{
  "formula": "ZrCoSnPd",
  "functional": "GGA-PBE",
  "state": "relaxed",
  "formation_energy_mev_per_atom": -469,
  "rho_g_cm3": 9.14,
  "dos_at_fermi_per_ev_cell": 14.042,
  "lattice": [[6.485, 0.000, 0.000], [0.000, 6.485, 0.000], [0.000, 0.000, 6.485]],
  "species": ["Zr", "Zr", "Zr", "Zr", "Co", "Co", "Co", "Co", "Sn", "Sn", "Sn", "Sn", "Pd", "Pd", "Pd", "Pd"],
  "fractional_positions": [[0.000, 0.000, 0.000], [0.000, 0.500, 0.500], [0.500, 0.000, 0.500], [0.500, 0.500, 0.000], [0.250, 0.250, 0.750], [0.250, 0.750, 0.250], [0.750, 0.250, 0.250], [0.750, 0.750, 0.750], [0.000, 0.000, 0.500], [0.000, 0.500, 0.000], [0.500, 0.000, 0.000], [0.500, 0.500, 0.500], [0.250, 0.250, 0.250], [0.250, 0.750, 0.750], [0.750, 0.250, 0.750], [0.750, 0.750, 0.250]]
}

***

# 7
{
  "formula": "SrCo2Pd2",
  "functional": "GGA-PBE",
  "state": "relaxed",
  "formation_energy_mev_per_atom": 92,
  "rho_g_cm3": 8.24,
  "dos_at_fermi_per_ev_cell": 12.782,
  "lattice": [[7.668, 0.000, 0.000], [0.000, 7.668, 0.000], [0.000, 0.000, 2.869]],
  "species": ["Sr", "Sr", "Co", "Co", "Co", "Co", "Pd", "Pd", "Pd", "Pd"],
  "fractional_positions": [[0.000, 0.000, 0.000], [0.500, 0.500, 0.000], [0.105, 0.395, 0.000], [0.395, 0.895, 0.000], [0.605, 0.105, 0.000], [0.895, 0.605, 0.000], [0.184, 0.684, 0.500], [0.316, 0.184, 0.500], [0.684, 0.816, 0.500], [0.816, 0.316, 0.500]]
}

***

# 8
{
  "formula": "SrCoPd3",
  "functional": "GGA-PBE",
  "state": "relaxed",
  "formation_energy_mev_per_atom": 1451,
  "rho_g_cm3": 5.76,
  "dos_at_fermi_per_ev_cell": 11.292,
  "lattice": [[5.122, 0.000, 0.000], [0.000, 5.122, 0.000], [0.000, 0.000, 5.122]],
  "species": ["Sr", "Co", "Pd", "Pd", "Pd"],
  "fractional_positions": [[0.000, 0.000, 0.000], [0.500, 0.500, 0.500], [0.000, 0.000, 0.500], [0.000, 0.500, 0.000], [0.500, 0.000, 0.000]]
}

***

# 9
{
  "formula": "SrCo2Pd2",
  "functional": "GGA-PBE",
  "state": "relaxed",
  "formation_energy_mev_per_atom": 9,
  "rho_g_cm3": 7.61,
  "dos_at_fermi_per_ev_cell": 17.006,
  "lattice": [[4.275, 0.000, 0.000], [0.000, 4.275, 0.000], [0.000, 0.000, 9.988]],
  "species": ["Sr", "Sr", "Co", "Co", "Co", "Co", "Pd", "Pd", "Pd", "Pd"],
  "fractional_positions": [[0.000, 0.000, 0.000], [0.500, 0.500, 0.500], [0.000, 0.000, 0.391], [0.000, 0.000, 0.609], [0.500, 0.500, 0.109], [0.500, 0.500, 0.891], [0.000, 0.500, 0.250], [0.000, 0.500, 0.750], [0.500, 0.000, 0.250], [0.500, 0.000, 0.750]]
}

***

# 10
{
  "formula": "SrCo2Pd",
  "functional": "GGA-PBE",
  "state": "relaxed",
  "formation_energy_mev_per_atom": 319,
  "rho_g_cm3": 5.76,
  "dos_at_fermi_per_ev_cell": 22.183,
  "lattice": [[4.504, 0.000, 0.000], [0.000, 4.504, 0.000], [0.000, 0.000, 17.730]],
  "species": ["Sr", "Sr", "Sr", "Sr", "Co", "Co", "Co", "Co", "Co", "Co", "Co", "Co", "Pd", "Pd", "Pd", "Pd"],
  "fractional_positions": [[0.000, 0.250, 0.375], [0.000, 0.750, 0.625], [0.500, 0.250, 0.125], [0.500, 0.750, 0.875], [0.000, 0.000, 0.000], [0.000, 0.500, 0.000], [0.250, 0.250, 0.750], [0.250, 0.750, 0.250], [0.500, 0.000, 0.500], [0.500, 0.500, 0.500], [0.750, 0.250, 0.750], [0.750, 0.750, 0.250], [0.000, 0.250, 0.875], [0.000, 0.750, 0.125], [0.500, 0.250, 0.625], [0.500, 0.750, 0.375]]
}

***

# 11
{
  "formula": "SrCoPd3",
  "functional": "GGA-PBE",
  "state": "relaxed",
  "formation_energy_mev_per_atom": 40,
  "rho_g_cm3": 7.34,
  "dos_at_fermi_per_ev_cell": 4.301,
  "lattice": [[4.724, 0.000, 0.000], [0.000, 4.724, 0.000], [0.000, 0.000, 4.724]],
  "species": ["Sr", "Co", "Pd", "Pd", "Pd"],
  "fractional_positions": [[0.000, 0.000, 0.000], [0.500, 0.500, 0.500], [0.000, 0.500, 0.500], [0.500, 0.000, 0.500], [0.500, 0.500, 0.000]]
}

***

# 12
{
  "formula": "SrZn2CoPd",
  "functional": "GGA-PBE",
  "state": "relaxed",
  "formation_energy_mev_per_atom": 1613,
  "rho_g_cm3": 4.65,
  "dos_at_fermi_per_ev_cell": 5.400,
  "lattice": [[5.460, 0.000, 0.000], [0.000, 5.460, 0.000], [0.000, 0.000, 4.595]],
  "species": ["Sr", "Zn", "Zn", "Co", "Pd"],
  "fractional_positions": [[0.000, 0.000, 0.000], [0.000, 0.500, 0.000], [0.500, 0.000, 0.000], [0.000, 0.000, 0.500], [0.500, 0.500, 0.500]]
}

***

# 13
{
  "formula": "TaCo3Pd",
  "functional": "GGA-PBE",
  "state": "relaxed",
  "formation_energy_mev_per_atom": 1554,
  "rho_g_cm3": 8.83,
  "dos_at_fermi_per_ev_cell": 11.316,
  "lattice": [[4.435, 0.000, 0.000], [0.000, 4.435, 0.000], [0.000, 0.000, 4.435]],
  "species": ["Ta", "Co", "Co", "Co", "Pd"],
  "fractional_positions": [[0.000, 0.000, 0.000], [0.000, 0.500, 0.500], [0.500, 0.000, 0.500], [0.500, 0.500, 0.000], [0.500, 0.500, 0.500]]
}